Entry 1:
## AgB2I (PBE)

Data for AgB2I after structural relaxation.

As for the crystal system: cubic. For the magnetic moment, the calculation gives 0.00 μB/atom. Its uncorrected formation energy is 2050 meV per atom.

Unit cell a=6.3732 b=6.3732 c=6.3732 alpha=90.00 beta=90.00 gamma=90.00
Closest atoms and distances in Å follow each position.
Space group Fm-3m (No. 225)
Asymmetric unit:
Ag 0.0000 0.0000 0.0000 [4 per cell]  8 B 2.76
B 0.2500 0.2500 0.2500 [8 per cell]  4 I 2.76, 4 Ag 2.76
I 0.0000 0.0000 0.5000 [4 per cell]  8 B 2.76

***

Entry 2:
## Hf2ZrRe (PBE)

Data for Hf2ZrRe after structural relaxation.

As for the crystal system: tetragonal. For the magnetic moment, the calculation gives 0.00 μB/atom. The value obtained for the formation energy is 389 meV per atom.

Unit cell a=7.7253 b=7.7253 c=5.8476 alpha=90.00 beta=90.00 gamma=90.00
Closest atoms and distances in Å follow each position.
Space group I-42d (No. 122)
Asymmetric unit:
Hf 0.2064 0.2500 0.1250 [8 per cell]  2 Re 2.61
Zr 0.0000 0.0000 0.5000 [4 per cell]  2 Re 2.92, 4 Hf 3.07
Re 0.0000 0.0000 0.0000 [4 per cell]  4 Hf 2.61

***

Entry 3:
## RbSbNF2 (PBE)

Data for RbSbNF2 after structural relaxation.

As for the crystal system: tetragonal. For the magnetic moment, the calculation gives 0.00 μB/atom. Its uncorrected formation energy is -1255 meV per atom.

Unit cell a=4.7203 b=4.7203 c=4.0310 alpha=90.00 beta=90.00 gamma=90.00
Closest atoms and distances in Å follow each position.
Space group P4/mmm (No. 123)
Asymmetric unit:
Rb 0.0000 0.0000 0.0000 [1 per cell]  8 F 3.10, 4 N 3.34
Sb 0.5000 0.5000 0.5000 [1 per cell]  2 N 2.02
N 0.5000 0.5000 0.0000 [1 per cell]  2 Sb 2.02
F 0.0000 0.5000 0.5000 [2 per cell]  2 Sb 2.36

***

Entry 4:
## Al2Tl (PBE)

Data for Al2Tl after structural relaxation.

As for the crystal system: tetragonal. For the magnetic moment, the calculation gives 0.00 μB/atom. The value obtained for the formation energy is 302 meV per atom.

Unit cell a=4.2153 b=4.2153 c=16.4393 alpha=90.00 beta=90.00 gamma=90.00
Closest atoms and distances in Å follow each position.
Space group I4_1/amd (No. 141, origin choice 2)
Asymmetric unit:
Al 0.0000 0.2500 0.2960 [8 per cell]  3 Al 2.59-2.60
Tl 0.0000 0.2500 0.8750 [4 per cell]  12 Al 3.25-3.51

***

Sequential uncorrected energy output: -0.176; -0.723; -0.344; -0.219 Ry per atom
Sequential energy relative to the lowest polymorph listed for this composition output: 574; 560; 0; 126 meV per atom